1.
Here is crystalline HfCdO2 at its relaxed geometry from Alexandria via LeMat-Bulk. Energies are from PBE-GGA.

Cell lengths 6.3871, 6.3871, 6.3871 Å; angles 60.00, 60.00, 60.00 degrees
Fractional positions:
1 Hf 0.1250 0.1250 0.1250
2 Hf 0.8750 0.8750 0.8750
3 Cd 0.3750 0.3750 0.3750
4 Cd 0.6250 0.6250 0.6250
5 O 0.0000 0.0000 0.0000
6 O 0.0000 0.0000 0.5000
7 O 0.0000 0.5000 0.0000
8 O 0.5000 0.0000 0.0000

Results
Formation energy from raw total energies in eV/atom: -2.3253
Symmetry: No. 227



2.
Here is crystalline Nd3ErTl at its relaxed geometry from Alexandria via LeMat-Bulk. Energies are from PBE-GGA.

Cell lengths 13.1488, 13.1488, 4.9186 Å; angles 90.00, 90.00, 158.47 degrees
Fractional positions:
1 Nd 0.0530 0.9470 0.7500
2 Nd 0.2508 0.7492 0.7500
3 Nd 0.4452 0.5548 0.7500
4 Nd 0.5548 0.4452 0.2500
5 Nd 0.7492 0.2508 0.2500
6 Nd 0.9470 0.0530 0.2500
7 Er 0.3486 0.6514 0.2500
8 Er 0.6514 0.3486 0.7500
9 Tl 0.1533 0.8467 0.2500
10 Tl 0.8467 0.1533 0.7500

Results
E_form in eV per atom: -0.13
Symmetry: No. 63



3.
Here is crystalline Dy6Ho2Th at its relaxed geometry from Alexandria via LeMat-Bulk. Energies are from PBE-GGA.

Cell lengths 7.7142, 7.7142, 7.7142 Å; angles 57.00, 57.00, 57.00 degrees
Fractional positions:
1 Dy 0.0123 0.4939 0.4939
2 Dy 0.2747 0.2747 0.8468
3 Dy 0.2747 0.8468 0.2747
4 Dy 0.4939 0.0123 0.4939
5 Dy 0.4939 0.4939 0.0123
6 Dy 0.8468 0.2747 0.2747
7 Ho 0.8103 0.8103 0.8103
8 Ho 0.9845 0.9845 0.9845
9 Th 0.5482 0.5482 0.5482

Results
E_form in eV per atom: 0.40
Symmetry: No. 160
Polymorph energy (0 for the lowest one) in kcal/mol of atoms: 7.954



4.
Here is crystalline FeH3Pb at its relaxed geometry from Alexandria via LeMat-Bulk. Energies are from PBE-GGA.

Cell lengths 3.6465, 3.6465, 3.6465 Å; angles 90.00, 90.00, 90.00 degrees
Fractional positions:
1 Fe 0.0000 0.0000 0.0000
2 H 0.0000 0.0000 0.5000
3 H 0.0000 0.5000 0.0000
4 H 0.5000 0.0000 0.0000
5 Pb 0.5000 0.5000 0.5000

Results
Symmetry: No. 221
Polymorph energy (0 for the lowest one) in kcal/mol of atoms: 0.000



5.
Here is crystalline NaLiHg4 at its relaxed geometry from Alexandria via LeMat-Bulk. Energies are from PBE-GGA.

Cell lengths 7.9697, 4.5242, 4.5242 Å; angles 90.00, 90.00, 90.00 degrees
Fractional positions:
1 Na 0.0000 0.0000 0.0000
2 Li 0.5000 0.5009 0.5009
3 Hg 0.2882 0.0005 0.5007
4 Hg 0.2882 0.5007 0.0005
5 Hg 0.7118 0.0005 0.5007
6 Hg 0.7118 0.5007 0.0005

Results
E_form in eV per atom: -0.17
Symmetry: No. 38
Polymorph energy (0 for the lowest one) in kcal/mol of atoms: 1.552



6.
Here is crystalline LiBe2AgW at its relaxed geometry from Alexandria via LeMat-Bulk. Energies are from PBE-GGA.

Cell lengths 4.3862, 4.3862, 4.7846 Å; angles 90.00, 90.00, 90.00 degrees
Fractional positions:
1 Li 0.0000 0.0000 0.0000
2 Be 0.0000 0.5000 0.5000
3 Be 0.5000 0.0000 0.5000
4 Ag 0.5000 0.5000 0.0000
5 W 0.0000 0.0000 0.5000

Results
E_form in eV per atom: 1.54
Symmetry: No. 123



Number 1: total energy -7.52 eV per atom. Number 2: total energy -4.37 eV per atom. Number 3: total energy -4.51 eV per atom. Number 4: total energy -4.11 eV per atom. Number 5: total energy -0.91 eV per atom. Number 6: total energy -3.49 eV per atom.